Entry 1:
Material: NbTc2SbPt
Method: DFT, PBE-GGA
State: relaxed

Computed properties:
D(E_F) (states/eV per cell): 4.6
Spin magnetization (μB/atom): 0.49
Total DFT energy (no corrections) (eV per atom): -6.6089
E_form (uncorrected) (eV/atom): 1.5841

a b c (Å): 4.6926 5.2192 4.6926
angles (deg): 90.00 90.00 90.00
Each line ends with the local moment (μB).
Fractional coordinates of all 5 atoms:
Sb 0.0000 0.5000 0.0000  -0.03
Nb 0.0000 0.0000 0.0000  -0.19
Tc 0.0000 0.0000 0.5000  1.11
Tc 0.5000 0.0000 0.0000  1.24
Pt 0.5000 0.5000 0.5000  0.11

Entry 2:
Material: NbSbTe2Pt
Method: DFT, PBE-GGA
State: relaxed

Computed properties:
D(E_F) (states/eV per cell): 7.7
Spin magnetization (μB/atom): 0.00
Total DFT energy (no corrections) (eV per atom): -4.4390
E_form (uncorrected) (eV/atom): 0.8642

a b c (Å): 5.2595 5.2595 5.0845
angles (deg): 90.00 90.00 90.00
Fractional coordinates of all 5 atoms:
Sb 0.0000 0.0000 0.5000
Nb 0.5000 0.5000 0.5000
Te 0.0000 0.5000 0.0000
Te 0.5000 0.0000 0.0000
Pt 0.0000 0.0000 0.0000

Entry 3:
Material: NbSbTe2Pt
Method: DFT, PBE-GGA
State: relaxed

Computed properties:
D(E_F) (states/eV per cell): 4.8
Spin magnetization (μB/atom): 0.00
Total DFT energy (no corrections) (eV per atom): -4.5688
E_form (uncorrected) (eV/atom): 0.7344

a b c (Å): 5.2684 5.2684 5.3454
angles (deg): 90.00 90.00 90.00
Fractional coordinates of all 5 atoms:
Sb 0.0000 0.0000 0.5000
Nb 0.0000 0.0000 0.0000
Te 0.0000 0.5000 0.0000
Te 0.5000 0.0000 0.0000
Pt 0.5000 0.5000 0.5000

Entry 4:
Material: NbSb2TePt
Method: DFT, PBE-GGA
State: relaxed

Computed properties:
D(E_F) (states/eV per cell): 7.2
Spin magnetization (μB/atom): 0.01
Total DFT energy (no corrections) (eV per atom): -4.6260
E_form (uncorrected) (eV/atom): 0.8734

a b c (Å): 5.1300 5.1300 5.3048
angles (deg): 90.00 90.00 90.00
Each line ends with the local moment (μB).
Fractional coordinates of all 5 atoms:
Sb 0.0000 0.5000 0.0000  0.01
Sb 0.5000 0.0000 0.0000  0.01
Nb 0.5000 0.5000 0.5000  -0.09
Te 0.0000 0.0000 0.5000  0.02
Pt 0.0000 0.0000 0.0000  0.00